1.
First-principles (GGA-PBE) data for an optimized crystal structure of AgRh2Cl, as listed in the Alexandria database.

abc: 4.6102 4.6102 15.2442
angles: 90.00 90.00 90.00
Last column: nearest neighbours and their distance in Å.
Space group I-42d (No. 122)
One atom of each set of equivalent atoms:
Ag: 0.0000 0.0000 0.0000 x4  4 Rh 2.84
Rh: 0.1192 0.2500 0.6250 x8  2 Cl 2.29, 2 Rh 2.55
Cl: 0.0000 0.0000 0.5000 x4  4 Rh 2.29

- formation energy from raw total energies (eV per atom) = 0.633
- polymorph energy (0 for the lowest one) (eV per formula unit) = 1.82
- VASP energy (eV/atom) = -4.2173


2.
First-principles (GGA-PBE) data for an optimized crystal structure of AcCdAgPt, as listed in the Alexandria database.

abc: 7.3007 7.3007 7.3007
angles: 90.00 90.00 90.00
Last column: nearest neighbours and their distance in Å.
Space group F-43m (No. 216)
One atom of each set of equivalent atoms:
Ac: 0.0000 0.0000 0.0000 x4  4 Pt 3.16, 4 Ag 3.16
Cd: 0.0000 0.0000 0.5000 x4  4 Pt 3.16, 4 Ag 3.16
Ag: 0.2500 0.2500 0.7500 x4  4 Cd 3.16, 4 Ac 3.16
Pt: 0.2500 0.2500 0.2500 x4  4 Cd 3.16, 4 Ac 3.16

- energy relative to the elements (meV per atom) = -471
- VASP energy (eV/atom) = -3.9496


3.
First-principles (GGA-PBE) data for an optimized crystal structure of AcLaCo2, as listed in the Alexandria database.

abc: 7.1672 7.1672 7.1672
angles: 90.00 90.00 90.00
Last column: nearest neighbours and their distance in Å.
Space group Fm-3m (No. 225)
One atom of each set of equivalent atoms:
Ac: 0.0000 0.0000 0.0000 x4  8 Co 3.10
La: 0.0000 0.0000 0.5000 x4  8 Co 3.10
Co: 0.2500 0.2500 0.2500 x8  4 Ac 3.10, 4 La 3.10

- energy relative to the elements (meV per atom) = 132
- polymorph energy (0 for the lowest one) (eV per formula unit) = 0.59
- VASP energy (eV/atom) = -5.6803


4.
First-principles (GGA-PBE) data for an optimized crystal structure of CuMoRhN2, as listed in the Alexandria database.

abc: 3.6611 3.6611 5.0683
angles: 90.00 90.00 90.00
Last column: nearest neighbours and their distance in Å.
Space group P4/mmm (No. 123)
One atom of each set of equivalent atoms:
Cu: 0.0000 0.0000 0.0000 x1  4 N 1.83
Mo: 0.0000 0.0000 0.5000 x1  2 Cu 2.53, 4 Rh 2.59
Rh: 0.5000 0.5000 0.5000 x1  4 Mo 2.59
N: 0.0000 0.5000 0.0000 x2  2 Cu 1.83

- formation energy from raw total energies (eV per atom) = 2.010
- VASP energy (eV/atom) = -5.7763


5.
First-principles (GGA-PBE) data for an optimized crystal structure of RbSmPuBr6, as listed in the Alexandria database.

abc: 7.5793 7.5793 15.3013
angles: 90.00 90.00 120.00
Last column: nearest neighbours and their distance in Å.
Space group P-31c (No. 163)
One atom of each set of equivalent atoms:
Rb: 0.0000 0.0000 0.0000 x2  6 Br 3.51
Sm: 0.3333 0.6667 0.2500 x2  6 Br 2.89
Pu: 0.3333 0.6667 0.7500 x2  6 Br 2.99
Br: 0.0097 0.3725 0.1398 x12  1 Sm 2.89, 1 Pu 2.99

- formation energy from raw total energies (eV per atom) = -1.718
- VASP energy (eV/atom) = -5.0578


6.
First-principles (GGA-PBE) data for an optimized crystal structure of Li2ZnAg2, as listed in the Alexandria database.

abc: 9.9067 4.7041 7.3148
angles: 90.00 109.93 90.00
Last column: nearest neighbours and their distance in Å.
Space group C2/c (No. 15)
One atom of each set of equivalent atoms:
Li: 0.1968 0.1842 0.1504 x8  6 Ag 2.73-2.96, 3 Li 2.78-2.81, 3 Zn 2.90-2.91
Zn: 0.0000 0.1947 0.7500 x4  6 Ag 2.74-2.78, 6 Li 2.90-2.91
Ag: 0.0998 0.3071 0.4512 x8  6 Li 2.73-2.96, 3 Zn 2.74-2.78, 3 Ag 2.86-2.95

- energy relative to the elements (meV per atom) = -194
- polymorph energy (0 for the lowest one) (eV per formula unit) = 0.00
- VASP energy (eV/atom) = -2.3553


7.
First-principles (GGA-PBE) data for an optimized crystal structure of Ba2AgHg, as listed in the Alexandria database.

abc: 4.7820 4.7820 25.5285
angles: 90.00 90.00 120.00
Last column: nearest neighbours and their distance in Å.
Space group R3m (No. 160, hexagonal axes)
One atom of each set of equivalent atoms:
Ba: 0.0000 0.0000 0.0000 x3  3 Ag 3.39, 3 Hg 3.58
Ba: 0.0000 0.0000 0.1778 x3  3 Ag 3.41, 3 Hg 3.57
Ag: 0.0000 0.0000 0.5898 x3  6 Ba 3.39-3.41
Hg: 0.0000 0.0000 0.7558 x3  6 Ba 3.57-3.58

- energy relative to the elements (meV per atom) = -284
- VASP energy (eV/atom) = -2.0335


8.
First-principles (GGA-PBE) data for an optimized crystal structure of Sr2CaLa, as listed in the Alexandria database.

abc: 13.4103 3.9550 7.0624
angles: 90.00 99.39 90.00
Last column: nearest neighbours and their distance in Å.
Space group Cm (No. 8)
One atom of each set of equivalent atoms:
Sr: 0.0000 0.0000 0.0000 x2  5 Sr 3.96-4.14, 4 Ca 3.96-4.13, 3 La 4.02-4.04
Sr: 0.2432 0.0000 0.7375 x2  5 Sr 3.96-4.14, 4 La 4.00-4.09, 3 Ca 4.02-4.08
Ca: 0.4906 0.0000 0.4833 x2  3 La 3.93-4.08, 2 Ca 3.96, 7 Sr 3.96-4.13
La: 0.2484 0.5000 0.2466 x2  3 Ca 3.93-4.08, 2 La 3.96, 7 Sr 4.00-4.09

- energy relative to the elements (meV per atom) = 122
- polymorph energy (0 for the lowest one) (eV per formula unit) = 0.15
- VASP energy (eV/atom) = -2.4510


9.
First-principles (GGA-PBE) data for an optimized crystal structure of K2Pu2HfSe6, as listed in the Alexandria database.

abc: 7.1550 12.2681 8.1942
angles: 90.00 107.28 90.00
Last column: nearest neighbours and their distance in Å.
Space group C2/m (No. 12)
One atom of each set of equivalent atoms:
K: 0.0000 0.1705 0.0000 x4  6 Se 3.32-3.40
Pu: 0.0000 0.3334 0.5000 x4  6 Se 2.90
Hf: 0.0000 0.0000 0.5000 x2  6 Se 2.71-2.72
Se: 0.2254 0.1567 0.6985 x8  1 Hf 2.72, 2 Pu 2.90
Se: 0.2443 0.0000 0.3024 x4  1 Hf 2.71, 2 Pu 2.90

- formation energy from raw total energies (eV per atom) = -1.429
- VASP energy (eV/atom) = -7.0397


10.
First-principles (GGA-PBE) data for an optimized crystal structure of Ba3ZnB2O6, as listed in the Alexandria database.

abc: 5.5891 5.5891 8.7367
angles: 90.00 90.00 120.00
Last column: nearest neighbours and their distance in Å.
Space group P-3m1 (No. 164)
One atom of each set of equivalent atoms:
Ba: 0.0000 0.0000 0.0000 x1  6 O 2.64
Ba: 0.3333 0.6667 0.7177 x2  6 O 2.86
Zn: 0.0000 0.0000 0.5000 x1  6 O 3.08
B: 0.3333 0.6667 0.2173 x2  3 O 1.39
O: 0.1898 0.3796 0.2177 x6  1 B 1.39

- formation energy from raw total energies (eV per atom) = -2.311
- VASP energy (eV/atom) = -6.4895


11.
First-principles (GGA-PBE) data for an optimized crystal structure of Na3LiIr, as listed in the Alexandria database.

abc: 4.8232 4.8232 4.8232
angles: 90.00 90.00 90.00
Last column: nearest neighbours and their distance in Å.
Space group Pm-3m (No. 221)
One atom of each set of equivalent atoms:
Na: 0.0000 0.0000 0.5000 x3  2 Li 2.41
Li: 0.0000 0.0000 0.0000 x1  6 Na 2.41
Ir: 0.5000 0.5000 0.5000 x1  12 Na 3.41

- energy relative to the elements (meV per atom) = 1001
- polymorph energy (0 for the lowest one) (eV per formula unit) = 1.64
- VASP energy (eV/atom) = -1.9456


12.
First-principles (GGA-PBE) data for an optimized crystal structure of Dy4CoOs, as listed in the Alexandria database.

abc: 6.1776 6.4436 7.6225
angles: 90.00 107.71 90.00
Last column: nearest neighbours and their distance in Å.
Space group P2_1/m (No. 11)
One atom of each set of equivalent atoms:
Dy: 0.0000 0.0004 0.2395 x4  2 Co 2.81-2.85, 2 Os 2.85-2.87
Dy: 0.4311 0.2500 0.6048 x2  1 Co 2.70, 1 Os 2.78
Dy: 0.4520 0.2500 0.1144 x2  1 Co 2.63, 1 Os 2.74
Co: 0.2444 0.7500 0.0648 x2  6 Dy 2.63-2.85
Os: 0.2170 0.7500 0.5515 x2  6 Dy 2.74-2.87

- energy relative to the elements (meV per atom) = -154
- polymorph energy (0 for the lowest one) (eV per formula unit) = 0.37
- VASP energy (eV/atom) = -6.2778


| no. | DOS(E_F) (states/eV/f.u.) |
| --- | --- |
| 1 | 0.6 |
| 2 | 2.3 |
| 3 | 2.7 |
| 4 | 7.3 |
| 5 | 17.7 |
| 6 | 1.6 |
| 7 | 2.9 |
| 8 | 7.0 |
| 9 | 21.9 |
| 10 | 0.0 |
| 11 | 3.6 |
| 12 | 4.1 |